[1]
The following is a PBE calculation of a relaxed structure of SrTaTlI2, from Alexandria via LeMat-Bulk.

a = 5.5430 Å, b = 5.6923 Å, c = 5.5430 Å
α = 90.00°, β = 90.00°, γ = 90.00°
Last column: nearest neighbours and their distance in Å.
Sites, in units of the cell vectors:
I 0.5000 0.0000 0.0000  2 Ta 2.77
Tl 0.0000 0.5000 0.0000  2 Ta 2.85
Sr 0.5000 0.5000 0.5000  4 Tl 3.92, 8 I 3.97
Ta 0.0000 0.0000 0.0000  4 I 2.77, 2 Tl 2.85
I 0.0000 0.0000 0.5000  2 Ta 2.77

Energy relative to the elements, uncorrected, kJ/mol of atoms: 17
Space group: P4/mmm (123)

---

[2]
The following is a PBE calculation of a relaxed structure of SrTbI5, from Alexandria via LeMat-Bulk.

a = 8.0515 Å, b = 8.0515 Å, c = 12.1794 Å
α = 105.92°, β = 111.24°, γ = 92.13°
Last column: nearest neighbours and their distance in Å.
Sites, in units of the cell vectors:
I 0.6740 0.7669 0.9723  1 Tb 3.03, 1 Sr 3.26
I 0.7549 0.2101 0.8622  1 Tb 3.00, 1 Sr 3.27
Tb 0.0000 0.5000 0.5000  6 I 3.00-3.16
I 0.3479 0.3927 0.6378  1 Tb 3.00, 1 Sr 3.27
I 0.2054 0.7983 0.4723  1 Tb 3.03, 1 Sr 3.26
I 0.9847 0.2347 0.2500  2 Tb 3.16, 1 Sr 3.42
Tb 0.0000 0.0000 0.0000  6 I 3.00-3.16
I 0.7946 0.2017 0.5277  1 Tb 3.03, 1 Sr 3.26
Sr 0.6785 0.9285 0.2500  5 I 3.26-3.42
I 0.3260 0.2331 0.0277  1 Tb 3.03, 1 Sr 3.26
I 0.0153 0.7653 0.7500  2 Tb 3.16, 1 Sr 3.42
I 0.6521 0.6073 0.3622  1 Tb 3.00, 1 Sr 3.27
I 0.2451 0.7899 0.1378  1 Tb 3.00, 1 Sr 3.27
Sr 0.3215 0.0715 0.7500  5 I 3.26-3.42

Energy relative to the elements, uncorrected, kJ/mol of atoms: -140
Space group: C2/c (15)

---

[3]
The following is a PBE calculation of a relaxed structure of SrTc2I2, from Alexandria via LeMat-Bulk.

a = 5.9012 Å, b = 5.9012 Å, c = 5.0001 Å
α = 90.00°, β = 90.00°, γ = 90.00°
Last column: nearest neighbours and their distance in Å.
Sites, in units of the cell vectors:
I 0.5000 0.0000 0.0000  2 Sr 2.95
Tc 0.0000 0.0000 0.5000  2 Sr 2.50
Sr 0.0000 0.0000 0.0000  2 Tc 2.50
Tc 0.5000 0.5000 0.5000  8 I 3.87, 4 Tc 4.17
I 0.0000 0.5000 0.0000  2 Sr 2.95

Energy relative to the elements, uncorrected, kJ/mol of atoms: 171
Space group: P4/mmm (123)

---

[4]
The following is a PBE calculation of a relaxed structure of Sr3TcI, from Alexandria via LeMat-Bulk.

a = 5.8210 Å, b = 5.8210 Å, c = 5.8210 Å
α = 90.00°, β = 90.00°, γ = 90.00°
Last column: nearest neighbours and their distance in Å.
Sites, in units of the cell vectors:
Sr 0.0000 0.0000 0.5000  2 Tc 2.91
I 0.5000 0.5000 0.5000  12 Sr 4.12
Sr 0.0000 0.5000 0.0000  2 Tc 2.91
Tc 0.0000 0.0000 0.0000  6 Sr 2.91
Sr 0.5000 0.0000 0.0000  2 Tc 2.91

Energy relative to the elements, uncorrected, kJ/mol of atoms: 14
Space group: Pm-3m (221)

---

[5]
The following is a PBE calculation of a relaxed structure of SrTcI3, from Alexandria via LeMat-Bulk.

a = 6.3649 Å, b = 6.3649 Å, c = 6.3649 Å
α = 90.00°, β = 90.00°, γ = 90.00°
Last column: nearest neighbours and their distance in Å.
Sites, in units of the cell vectors:
I 0.5000 0.0000 0.0000  2 Sr 3.18
I 0.0000 0.5000 0.0000  2 Sr 3.18
Sr 0.0000 0.0000 0.0000  6 I 3.18
I 0.0000 0.0000 0.5000  2 Sr 3.18
Tc 0.5000 0.5000 0.5000  12 I 4.50

Energy relative to the elements, uncorrected, kJ/mol of atoms: 12
Space group: Pm-3m (221)

---

[6]
The following is a PBE calculation of a relaxed structure of SrTcI3, from Alexandria via LeMat-Bulk.

a = 5.5433 Å, b = 5.5433 Å, c = 5.5433 Å
α = 90.00°, β = 90.00°, γ = 90.00°
Last column: nearest neighbours and their distance in Å.
Sites, in units of the cell vectors:
Sr 0.5000 0.5000 0.5000  12 I 3.92
I 0.0000 0.5000 0.0000  2 Tc 2.77
Tc 0.0000 0.0000 0.0000  6 I 2.77
I 0.0000 0.0000 0.5000  2 Tc 2.77
I 0.5000 0.0000 0.0000  2 Tc 2.77

Energy relative to the elements, uncorrected, kJ/mol of atoms: -21
Space group: Pm-3m (221)

---

[7]
The following is a PBE calculation of a relaxed structure of SrTcTeI2, from Alexandria via LeMat-Bulk.

a = 5.6120 Å, b = 5.6120 Å, c = 5.2169 Å
α = 90.00°, β = 90.00°, γ = 90.00°
Last column: nearest neighbours and their distance in Å.
Sites, in units of the cell vectors:
I 0.5000 0.0000 0.0000  2 Tc 2.81
Te 0.0000 0.0000 0.5000  2 Tc 2.61
Tc 0.0000 0.0000 0.0000  2 Te 2.61, 4 I 2.81
Sr 0.5000 0.5000 0.5000  8 I 3.83, 4 Te 3.97
I 0.0000 0.5000 0.0000  2 Tc 2.81

Energy relative to the elements, uncorrected, kJ/mol of atoms: -25
Space group: P4/mmm (123)

---

[8]
The following is a PBE calculation of a relaxed structure of SrTcTeI2, from Alexandria via LeMat-Bulk.

a = 6.1379 Å, b = 6.1379 Å, c = 6.4856 Å
α = 90.00°, β = 90.00°, γ = 90.00°
Last column: nearest neighbours and their distance in Å.
Sites, in units of the cell vectors:
Tc 0.5000 0.5000 0.5000  4 Te 4.34, 8 I 4.46
Sr 0.0000 0.0000 0.0000  4 I 3.07, 2 Te 3.24
I 0.5000 0.0000 0.0000  2 Sr 3.07
Te 0.0000 0.0000 0.5000  2 Sr 3.24
I 0.0000 0.5000 0.0000  2 Sr 3.07

Energy relative to the elements, uncorrected, kJ/mol of atoms: 44
Space group: P4/mmm (123)

---

[9]
The following is a PBE calculation of a relaxed structure of SrV2TcI, from Alexandria via LeMat-Bulk.

a = 4.6708 Å, b = 6.5151 Å, c = 4.6708 Å
α = 90.00°, β = 90.00°, γ = 90.00°
Last column: nearest neighbours and their distance in Å.
Sites, in units of the cell vectors:
Sr 0.0000 0.5000 0.0000  2 Tc 3.26, 4 I 3.30
V 0.5000 0.0000 0.0000  2 Tc 2.34
V 0.0000 0.0000 0.5000  2 Tc 2.34
Tc 0.0000 0.0000 0.0000  4 V 2.34
I 0.5000 0.5000 0.5000  4 Sr 3.30

Energy relative to the elements, uncorrected, kJ/mol of atoms: 63
Space group: P4/mmm (123)

---

[10]
The following is a PBE calculation of a relaxed structure of Sr2ZnTcI, from Alexandria via LeMat-Bulk.

a = 6.1292 Å, b = 4.6950 Å, c = 6.1292 Å
α = 90.00°, β = 90.00°, γ = 90.00°
Last column: nearest neighbours and their distance in Å.
Sites, in units of the cell vectors:
I 0.5000 0.5000 0.5000  8 Sr 3.86
Sr 0.5000 0.0000 0.0000  2 Zn 3.06
Zn 0.0000 0.0000 0.0000  2 Tc 2.35
Sr 0.0000 0.0000 0.5000  2 Zn 3.06
Tc 0.0000 0.5000 0.0000  2 Zn 2.35

Energy relative to the elements, uncorrected, kJ/mol of atoms: 18
Space group: P4/mmm (123)

---

[11]
The following is a PBE calculation of a relaxed structure of SrZrTc2I, from Alexandria via LeMat-Bulk.

a = 4.9704 Å, b = 5.7253 Å, c = 4.9704 Å
α = 90.00°, β = 90.00°, γ = 90.00°
Last column: nearest neighbours and their distance in Å.
Sites, in units of the cell vectors:
Tc 0.5000 0.0000 0.0000  2 Sr 2.49
Sr 0.0000 0.0000 0.0000  4 Tc 2.49
I 0.0000 0.5000 0.0000  2 Sr 2.86
Zr 0.5000 0.5000 0.5000  4 I 3.51, 8 Tc 3.79
Tc 0.0000 0.0000 0.5000  2 Sr 2.49

Energy relative to the elements, uncorrected, kJ/mol of atoms: 209
Space group: P4/mmm (123)

---

[12]
The following is a PBE calculation of a relaxed structure of SrTeI2, from Alexandria via LeMat-Bulk.

a = 5.9462 Å, b = 5.9462 Å, c = 5.9462 Å
α = 60.00°, β = 60.00°, γ = 60.00°
Last column: nearest neighbours and their distance in Å.
Sites, in units of the cell vectors:
I 0.2500 0.2500 0.2500  4 Te 3.64, 4 Sr 3.64
I 0.7500 0.7500 0.7500  4 Sr 3.64, 4 Te 3.64
Te 0.5000 0.5000 0.5000  8 I 3.64
Sr 0.0000 0.0000 0.0000  8 I 3.64

Energy relative to the elements, uncorrected, kJ/mol of atoms: -65
Space group: Fm-3m (225)

---

Number 1: ρ 6900 kg/m3. Number 2: ρ 4183 kg/m3. Number 3: ρ 5125 kg/m3. Number 4: ρ 4106 kg/m3. Number 5: ρ 3647 kg/m3. Number 6: ρ 5521 kg/m3. Number 7: ρ 5731 kg/m3. Number 8: ρ 3854 kg/m3. Number 9: ρ 4841 kg/m3. Number 10: ρ 4383 kg/m3. Number 11: ρ 5891 kg/m3. Number 12: ρ 5239 kg/m3.